# La3Ge5S12

A geometry-optimized La3Ge5S12 structure (PBE, Alexandria).

Lattice parameters (Å, degrees): 15.6389 15.6389 15.6389 90.00 90.00 90.00
With the nearest neighbours (Å) after each atom.
Space group Ia-3d (No. 230)
Inequivalent atoms, fractional coordinates:
La 0.0000 0.2500 0.1250 (multiplicity 24)  8 S 2.99-3.06
Ge 0.0000 0.0000 0.0000 (multiplicity 16)  6 S 2.65
Ge 0.0000 0.2500 0.3750 (multiplicity 24)  4 S 2.28
S 0.0306 0.0592 0.6557 (multiplicity 96)  1 Ge 2.28

Output
Density   4.05 g/cm³
DOS at the Fermi energy   2.17 states/eV/f.u.
DFT total energy   -5.352 eV per atom
Raw formation energy   -0.982 eV per atom
Size of the total moment   0.0 μB/f.u.

# La6GeSe3S2

A geometry-optimized La6GeSe3S2 structure (PBE, Alexandria).

Lattice parameters (Å, degrees): 18.7491 4.2806 8.6017 90.00 103.91 90.00
With the nearest neighbours (Å) after each atom.
Space group C2/m (No. 12)
Inequivalent atoms, fractional coordinates:
La 0.0034 0.0000 0.2467 (multiplicity 4)  1 S 2.99, 2 Ge 3.00, 3 Se 3.07-3.09
La 0.1646 0.5000 0.0919 (multiplicity 4)  2 S 2.98, 1 Ge 3.00, 3 Se 3.08-3.10
La 0.1700 0.5000 0.5744 (multiplicity 4)  3 S 2.95-2.97, 3 Se 3.09-3.10
Ge 0.0000 0.5000 0.0000 (multiplicity 2)  6 La 3.00
Se 0.0000 0.5000 0.5000 (multiplicity 2)  6 La 3.07-3.10
Se 0.1663 0.0000 0.8316 (multiplicity 4)  6 La 3.08-3.10
S 0.1677 0.0000 0.3345 (multiplicity 4)  6 La 2.95-2.99

Output
Density   5.98 g/cm³
DOS at the Fermi energy   6.23 states/eV/f.u.
DFT total energy   -6.294 eV per atom
Raw formation energy   -1.887 eV per atom
Size of the total moment   0.0 μB/f.u.